# 1
A relaxed structure of Fe2HRuO. Source: Alexandria via LeMat-Bulk, functional PBE+U.

a = 3.4925 Å, b = 3.4925 Å, c = 4.4718 Å
α = 90.00°, β = 90.00°, γ = 90.00°
Last column: nearest neighbours and their distance in Å.
Sites, in units of the cell vectors:
Fe (0.0000, 0.5000, 0.0000)  2 H 1.75
Fe (0.5000, 0.0000, 0.0000)  2 H 1.75
H (0.0000, 0.0000, 0.0000)  4 Fe 1.75
Ru (0.5000, 0.5000, 0.5000)  4 O 2.47
O (0.0000, 0.0000, 0.5000)  2 H 2.24, 4 Ru 2.47

Summary:
DOS at the Fermi energy in states/eV/cell: 3.022
Calculated density in g/cm3: 6.995
DFT total energy in eV per atom: -5.157
Size of the total moment in μB/cell: 8.36

=====

# 2
A relaxed structure of FeH9S2O12. Source: Alexandria via LeMat-Bulk, functional PBE+U.

a = 9.7333 Å, b = 18.3901 Å, c = 5.5620 Å
α = 90.00°, β = 90.00°, γ = 90.00°
Last column: nearest neighbours and their distance in Å.
Sites, in units of the cell vectors:
Fe (0.0000, 0.0000, 0.0000)  6 O 1.99-2.10
Fe (0.0000, 0.5000, 0.0000)  6 O 1.99-2.10
Fe (0.5000, 0.0000, 0.5000)  6 O 1.99-2.10
Fe (0.5000, 0.5000, 0.5000)  6 O 1.99-2.10
H (0.0075, 0.2500, 0.0591)  1 O 1.09
H (0.0770, 0.6042, 0.6843)  1 O 0.99
H (0.0770, 0.8958, 0.6843)  1 O 0.99
H (0.0839, 0.0959, 0.3520)  1 O 0.99
H (0.0839, 0.4041, 0.3520)  1 O 0.99
H (0.1707, 0.2050, 0.0507)  1 O 1.01
H (0.1707, 0.2950, 0.0507)  1 O 1.01
H (0.1865, 0.7064, 0.0025)  1 O 0.99
H (0.1865, 0.7936, 0.0025)  1 O 0.99
H (0.3135, 0.2064, 0.5025)  1 O 0.99
H (0.3135, 0.2936, 0.5025)  1 O 0.99
H (0.3293, 0.7050, 0.5507)  1 O 1.01
H (0.3293, 0.7950, 0.5507)  1 O 1.01
H (0.4161, 0.5959, 0.8520)  1 O 0.99
H (0.4161, 0.9041, 0.8520)  1 O 0.99
H (0.4230, 0.1042, 0.1843)  1 O 0.99
H (0.4230, 0.3958, 0.1843)  1 O 0.99
H (0.4925, 0.7500, 0.5591)  1 O 1.09
H (0.5075, 0.2500, 0.4409)  1 O 1.09
H (0.5770, 0.6042, 0.8157)  1 O 0.99
H (0.5770, 0.8958, 0.8157)  1 O 0.99
H (0.5839, 0.0959, 0.1480)  1 O 0.99
H (0.5839, 0.4041, 0.1480)  1 O 0.99
H (0.6707, 0.2050, 0.4493)  1 O 1.01
H (0.6707, 0.2950, 0.4493)  1 O 1.01
H (0.6865, 0.7064, 0.4975)  1 O 0.99
H (0.6865, 0.7936, 0.4975)  1 O 0.99
H (0.8135, 0.2064, 0.9975)  1 O 0.99
H (0.8135, 0.2936, 0.9975)  1 O 0.99
H (0.8293, 0.7050, 0.9493)  1 O 1.01
H (0.8293, 0.7950, 0.9493)  1 O 1.01
H (0.9161, 0.5959, 0.6480)  1 O 0.99
H (0.9161, 0.9041, 0.6480)  1 O 0.99
H (0.9230, 0.1042, 0.3157)  1 O 0.99
H (0.9230, 0.3958, 0.3157)  1 O 0.99
H (0.9925, 0.7500, 0.9409)  1 O 1.09
S (0.2361, 0.5903, 0.2888)  4 O 1.47-1.50
S (0.2361, 0.9097, 0.2888)  4 O 1.47-1.50
S (0.2639, 0.0903, 0.7888)  4 O 1.47-1.50
S (0.2639, 0.4097, 0.7888)  4 O 1.47-1.50
S (0.7361, 0.5903, 0.2112)  4 O 1.47-1.50
S (0.7361, 0.9097, 0.2112)  4 O 1.47-1.50
S (0.7639, 0.0903, 0.7112)  4 O 1.47-1.50
S (0.7639, 0.4097, 0.7112)  4 O 1.47-1.50
O (0.0090, 0.0898, 0.2326)  2 H 0.99
O (0.0090, 0.4102, 0.2326)  2 H 0.99
O (0.0934, 0.5628, 0.2408)  1 S 1.50
O (0.0934, 0.9372, 0.2408)  1 S 1.50
O (0.1177, 0.2500, 0.0976)  3 H 1.01-1.09
O (0.1325, 0.7500, 0.9577)  2 H 0.99
O (0.1780, 0.0245, 0.8443)  1 S 1.50
O (0.1780, 0.4755, 0.8443)  1 S 1.50
O (0.2087, 0.1295, 0.5793)  1 S 1.47
O (0.2087, 0.3705, 0.5793)  1 S 1.47
O (0.2245, 0.6375, 0.5038)  1 S 1.48, 1 H 1.63
O (0.2245, 0.8625, 0.5038)  1 S 1.48, 1 H 1.63
O (0.2755, 0.1375, 0.0038)  1 S 1.48, 1 H 1.63
O (0.2755, 0.3625, 0.0038)  1 S 1.48, 1 H 1.63
O (0.2913, 0.6295, 0.0793)  1 S 1.47
O (0.2913, 0.8705, 0.0793)  1 S 1.47
O (0.3220, 0.5245, 0.3443)  1 S 1.50
O (0.3220, 0.9755, 0.3443)  1 S 1.50
O (0.3675, 0.2500, 0.4577)  2 H 0.99
O (0.3823, 0.7500, 0.5976)  3 H 1.01-1.09
O (0.4066, 0.0628, 0.7408)  1 S 1.50
O (0.4066, 0.4372, 0.7408)  1 S 1.50
O (0.4910, 0.5898, 0.7326)  2 H 0.99
O (0.4910, 0.9102, 0.7326)  2 H 0.99
O (0.5090, 0.0898, 0.2674)  2 H 0.99
O (0.5090, 0.4102, 0.2674)  2 H 0.99
O (0.5934, 0.5628, 0.2592)  1 S 1.50
O (0.5934, 0.9372, 0.2592)  1 S 1.50
O (0.6177, 0.2500, 0.4024)  3 H 1.01-1.09
O (0.6325, 0.7500, 0.5423)  2 H 0.99
O (0.6780, 0.0245, 0.6557)  1 S 1.50
O (0.6780, 0.4755, 0.6557)  1 S 1.50
O (0.7087, 0.1295, 0.9207)  1 S 1.47
O (0.7087, 0.3705, 0.9207)  1 S 1.47
O (0.7245, 0.6375, 0.9962)  1 S 1.48, 1 H 1.63
O (0.7245, 0.8625, 0.9962)  1 S 1.48, 1 H 1.63
O (0.7755, 0.1375, 0.4962)  1 S 1.48, 1 H 1.63
O (0.7755, 0.3625, 0.4962)  1 S 1.48, 1 H 1.63
O (0.7913, 0.6295, 0.4207)  1 S 1.47
O (0.7913, 0.8705, 0.4207)  1 S 1.47
O (0.8220, 0.5245, 0.1557)  1 S 1.50
O (0.8220, 0.9755, 0.1557)  1 S 1.50
O (0.8675, 0.2500, 0.0423)  2 H 0.99
O (0.8823, 0.7500, 0.9024)  3 H 1.01-1.09
O (0.9066, 0.0628, 0.7592)  1 S 1.50
O (0.9066, 0.4372, 0.7592)  1 S 1.50
O (0.9910, 0.5898, 0.7674)  2 H 0.99
O (0.9910, 0.9102, 0.7674)  2 H 0.99

Summary:
DOS at the Fermi energy in states/eV/cell: 0.000
Calculated density in g/cm3: 2.142
DFT total energy in eV per atom: -5.526
Size of the total moment in μB/cell: 19.35

=====

# 3
A relaxed structure of Fe2H10S2O11. Source: Alexandria via LeMat-Bulk, functional PBE+U.

a = 9.5870 Å, b = 9.5870 Å, c = 10.4228 Å
α = 90.00°, β = 90.00°, γ = 90.00°
Last column: nearest neighbours and their distance in Å.
Sites, in units of the cell vectors:
Fe (0.1318, 0.1663, 0.2713)  6 O 2.07-2.29
Fe (0.1663, 0.1318, 0.7287)  6 O 2.07-2.29
Fe (0.3337, 0.6318, 0.5213)  6 O 2.07-2.29
Fe (0.3682, 0.6663, 0.9787)  6 O 2.07-2.29
Fe (0.6318, 0.3337, 0.4787)  6 O 2.07-2.29
Fe (0.6663, 0.3682, 0.0213)  6 O 2.07-2.29
Fe (0.8337, 0.8682, 0.2287)  6 O 2.07-2.29
Fe (0.8682, 0.8337, 0.7713)  6 O 2.07-2.29
H (0.0164, 0.6320, 0.6422)  1 O 1.01
H (0.0501, 0.2348, 0.9679)  1 O 0.99
H (0.0509, 0.8752, 0.3980)  1 O 1.01
H (0.1037, 0.6478, 0.3673)  1 O 1.00
H (0.1248, 0.9491, 0.1020)  1 O 1.01
H (0.1320, 0.4836, 0.3922)  1 O 1.01
H (0.1336, 0.8511, 0.8265)  1 O 1.01
H (0.1478, 0.3963, 0.1173)  1 O 1.00
H (0.1489, 0.8664, 0.6735)  1 O 1.01
H (0.2348, 0.0501, 0.0321)  1 O 0.99
H (0.2652, 0.5501, 0.2179)  1 O 0.99
H (0.3511, 0.3664, 0.5765)  1 O 1.01
H (0.3522, 0.8963, 0.1327)  1 O 1.00
H (0.3664, 0.3511, 0.4235)  1 O 1.01
H (0.3680, 0.9836, 0.8578)  1 O 1.01
H (0.3752, 0.4491, 0.1480)  1 O 1.01
H (0.3963, 0.1478, 0.8827)  1 O 1.00
H (0.4491, 0.3752, 0.8520)  1 O 1.01
H (0.4499, 0.7348, 0.2821)  1 O 0.99
H (0.4836, 0.1320, 0.6078)  1 O 1.01
H (0.5164, 0.8680, 0.1078)  1 O 1.01
H (0.5501, 0.2652, 0.7821)  1 O 0.99
H (0.5509, 0.6248, 0.3520)  1 O 1.01
H (0.6037, 0.8522, 0.3827)  1 O 1.00
H (0.6248, 0.5509, 0.6480)  1 O 1.01
H (0.6320, 0.0164, 0.3578)  1 O 1.01
H (0.6336, 0.6489, 0.9235)  1 O 1.01
H (0.6478, 0.1037, 0.6327)  1 O 1.00
H (0.6489, 0.6336, 0.0765)  1 O 1.01
H (0.7348, 0.4499, 0.7179)  1 O 0.99
H (0.7652, 0.9499, 0.5321)  1 O 0.99
H (0.8511, 0.1336, 0.1735)  1 O 1.01
H (0.8522, 0.6037, 0.6173)  1 O 1.00
H (0.8664, 0.1489, 0.3265)  1 O 1.01
H (0.8680, 0.5164, 0.8922)  1 O 1.01
H (0.8752, 0.0509, 0.6020)  1 O 1.01
H (0.8963, 0.3522, 0.8673)  1 O 1.00
H (0.9491, 0.1248, 0.8980)  1 O 1.01
H (0.9499, 0.7652, 0.4679)  1 O 0.99
H (0.9836, 0.3680, 0.1422)  1 O 1.01
S (0.0356, 0.7002, 0.0247)  3 O 1.54-1.56
S (0.2002, 0.4644, 0.7747)  3 O 1.54-1.56
S (0.2998, 0.9644, 0.4753)  3 O 1.54-1.56
S (0.4644, 0.2002, 0.2253)  3 O 1.54-1.56
S (0.5356, 0.7998, 0.7253)  3 O 1.54-1.56
S (0.7002, 0.0356, 0.9753)  3 O 1.54-1.56
S (0.7998, 0.5356, 0.2747)  3 O 1.54-1.56
S (0.9644, 0.2998, 0.5247)  3 O 1.54-1.56
O (0.0039, 0.1659, 0.6011)  1 S 1.56, 1 H 1.65
O (0.0189, 0.2018, 0.8824)  2 H 0.99-1.01
O (0.0746, 0.3171, 0.4179)  1 S 1.54, 1 H 1.71
O (0.0760, 0.3215, 0.1233)  2 H 1.00-1.01
O (0.0956, 0.9044, 0.7500)  2 H 1.01
O (0.1659, 0.0039, 0.3989)  1 S 1.56, 1 H 1.65
O (0.1682, 0.7517, 0.9527)  1 S 1.56, 1 H 1.66
O (0.1785, 0.5760, 0.3733)  2 H 1.00-1.01
O (0.1829, 0.5746, 0.6679)  1 S 1.54, 1 H 1.71
O (0.2018, 0.0189, 0.1176)  2 H 0.99-1.01
O (0.2483, 0.8318, 0.5473)  1 S 1.56, 1 H 1.66
O (0.2517, 0.3318, 0.7027)  1 S 1.56, 1 H 1.66
O (0.2982, 0.5189, 0.1324)  2 H 0.99-1.01
O (0.3171, 0.0746, 0.5821)  1 S 1.54, 1 H 1.71
O (0.3215, 0.0760, 0.8767)  2 H 1.00-1.01
O (0.3318, 0.2517, 0.2973)  1 S 1.56, 1 H 1.66
O (0.3341, 0.5039, 0.8511)  1 S 1.56, 1 H 1.65
O (0.4044, 0.4044, 0.5000)  2 H 1.01
O (0.4240, 0.8215, 0.1267)  2 H 1.00-1.01
O (0.4254, 0.8171, 0.8321)  1 S 1.54, 1 H 1.71
O (0.4811, 0.7018, 0.3676)  2 H 0.99-1.01
O (0.4961, 0.6659, 0.6489)  1 S 1.56, 1 H 1.65
O (0.5039, 0.3341, 0.1489)  1 S 1.56, 1 H 1.65
O (0.5189, 0.2982, 0.8676)  2 H 0.99-1.01
O (0.5746, 0.1829, 0.3321)  1 S 1.54, 1 H 1.71
O (0.5760, 0.1785, 0.6267)  2 H 1.00-1.01
O (0.5956, 0.5956, 0.0000)  2 H 1.01
O (0.6659, 0.4961, 0.3511)  1 S 1.56, 1 H 1.65
O (0.6682, 0.7483, 0.7973)  1 S 1.56, 1 H 1.66
O (0.6785, 0.9240, 0.3767)  2 H 1.00-1.01
O (0.6829, 0.9254, 0.0821)  1 S 1.54, 1 H 1.71
O (0.7018, 0.4811, 0.6324)  2 H 0.99-1.01
O (0.7483, 0.6682, 0.2027)  1 S 1.56, 1 H 1.66
O (0.7517, 0.1682, 0.0473)  1 S 1.56, 1 H 1.66
O (0.7982, 0.9811, 0.6176)  2 H 0.99-1.01
O (0.8171, 0.4254, 0.1679)  1 S 1.54, 1 H 1.71
O (0.8215, 0.4240, 0.8733)  2 H 1.00-1.01
O (0.8318, 0.2483, 0.4527)  1 S 1.56, 1 H 1.66
O (0.8341, 0.9961, 0.8989)  1 S 1.56, 1 H 1.65
O (0.9044, 0.0956, 0.2500)  2 H 1.01
O (0.9240, 0.6785, 0.6233)  2 H 1.00-1.01
O (0.9254, 0.6829, 0.9179)  1 S 1.54, 1 H 1.71
O (0.9811, 0.7982, 0.3824)  2 H 0.99-1.01
O (0.9961, 0.8341, 0.1011)  1 S 1.56, 1 H 1.65

Summary:
DOS at the Fermi energy in states/eV/cell: 0.000
Calculated density in g/cm3: 2.509
DFT total energy in eV per atom: -5.477
Size of the total moment in μB/cell: 32.20

=====

# 4
A relaxed structure of Fe2H2Se3O10. Source: Alexandria via LeMat-Bulk, functional PBE+U.

a = 8.0398 Å, b = 10.1847 Å, c = 13.0455 Å
α = 90.00°, β = 117.80°, γ = 90.00°
Last column: nearest neighbours and their distance in Å.
Sites, in units of the cell vectors:
Fe (0.0335, 0.2394, 0.2290)  6 O 1.98-2.13
Fe (0.0335, 0.2606, 0.7290)  6 O 1.98-2.13
Fe (0.4658, 0.2332, 0.2715)  6 O 2.00-2.13
Fe (0.4658, 0.2668, 0.7715)  6 O 2.00-2.13
Fe (0.5342, 0.7332, 0.2285)  6 O 2.00-2.13
Fe (0.5342, 0.7668, 0.7285)  6 O 2.00-2.13
Fe (0.9665, 0.7394, 0.2710)  6 O 1.98-2.13
Fe (0.9665, 0.7606, 0.7710)  6 O 1.98-2.13
H (0.0633, 0.6866, 0.9951)  1 O 0.98
H (0.0633, 0.8134, 0.4951)  1 O 0.98
H (0.2408, 0.7441, 0.9879)  1 O 1.00
H (0.2408, 0.7559, 0.4879)  1 O 1.00
H (0.7592, 0.2441, 0.5121)  1 O 1.00
H (0.7592, 0.2559, 0.0121)  1 O 1.00
H (0.9367, 0.1866, 0.5049)  1 O 0.98
H (0.9367, 0.3134, 0.0049)  1 O 0.98
Se (0.1696, 0.5505, 0.6741)  3 O 1.71-1.78
Se (0.1696, 0.9495, 0.1741)  3 O 1.71-1.78
Se (0.3175, 0.5195, 0.2994)  3 O 1.71-1.80
Se (0.3175, 0.9805, 0.7994)  3 O 1.71-1.80
Se (0.3684, 0.1764, 0.4950)  3 O 1.72-1.74
Se (0.3684, 0.3236, 0.9950)  3 O 1.72-1.74
Se (0.6316, 0.6764, 0.0050)  3 O 1.72-1.74
Se (0.6316, 0.8236, 0.5050)  3 O 1.72-1.74
Se (0.6825, 0.0195, 0.2006)  3 O 1.71-1.80
Se (0.6825, 0.4805, 0.7006)  3 O 1.71-1.80
Se (0.8304, 0.0505, 0.8259)  3 O 1.71-1.78
Se (0.8304, 0.4495, 0.3259)  3 O 1.71-1.78
O (0.1009, 0.7478, 0.4553)  2 H 0.98-1.00
O (0.1009, 0.7522, 0.9553)  2 H 0.98-1.00
O (0.1147, 0.5753, 0.2972)  1 Se 1.71
O (0.1147, 0.9247, 0.7972)  1 Se 1.71
O (0.1496, 0.2405, 0.4005)  1 Se 1.74
O (0.1496, 0.2595, 0.9005)  1 Se 1.74
O (0.1651, 0.6351, 0.7866)  1 Se 1.72
O (0.1651, 0.8649, 0.2866)  1 Se 1.72
O (0.2353, 0.1358, 0.7264)  1 Se 1.80
O (0.2353, 0.3642, 0.2264)  1 Se 1.80
O (0.2409, 0.1083, 0.2371)  1 Se 1.78
O (0.2409, 0.3917, 0.7371)  1 Se 1.78
O (0.3238, 0.6051, 0.1865)  1 Se 1.73
O (0.3238, 0.8949, 0.6865)  1 Se 1.73
O (0.3812, 0.6017, 0.6864)  1 Se 1.71
O (0.3812, 0.8983, 0.1864)  1 Se 1.71
O (0.4250, 0.2171, 0.1087)  1 Se 1.72
O (0.4250, 0.2829, 0.6087)  1 Se 1.72
O (0.4853, 0.7367, 0.0594)  1 H 1.74, 1 Se 1.74
O (0.4853, 0.7633, 0.5594)  1 H 1.74, 1 Se 1.74
O (0.5147, 0.2367, 0.4406)  1 H 1.74, 1 Se 1.74
O (0.5147, 0.2633, 0.9406)  1 H 1.74, 1 Se 1.74
O (0.5750, 0.7171, 0.3913)  1 Se 1.72
O (0.5750, 0.7829, 0.8913)  1 Se 1.72
O (0.6188, 0.1017, 0.8136)  1 Se 1.71
O (0.6188, 0.3983, 0.3136)  1 Se 1.71
O (0.6762, 0.1051, 0.3135)  1 Se 1.73
O (0.6762, 0.3949, 0.8135)  1 Se 1.73
O (0.7591, 0.6083, 0.2629)  1 Se 1.78
O (0.7591, 0.8917, 0.7629)  1 Se 1.78
O (0.7647, 0.6358, 0.7736)  1 Se 1.80
O (0.7647, 0.8642, 0.2736)  1 Se 1.80
O (0.8349, 0.1351, 0.7134)  1 Se 1.72
O (0.8349, 0.3649, 0.2134)  1 Se 1.72
O (0.8504, 0.7405, 0.0995)  1 Se 1.74
O (0.8504, 0.7595, 0.5995)  1 Se 1.74
O (0.8853, 0.0753, 0.2028)  1 Se 1.71
O (0.8853, 0.4247, 0.7028)  1 Se 1.71
O (0.8991, 0.2478, 0.0447)  2 H 0.98-1.00
O (0.8991, 0.2522, 0.5447)  2 H 0.98-1.00

Summary:
DOS at the Fermi energy in states/eV/cell: 0.000
Calculated density in g/cm3: 3.589
DFT total energy in eV per atom: -5.633
Size of the total moment in μB/cell: 39.89